*w*
The following is a DFT calculation (SCAN) of a PBEsol-optimized structure of KP3.

The structure in POSCAR format:
```
KP3
1.0
4.246 0.000 0.000
0.000 4.246 0.000
-2.123 -2.123 4.057
K P
1 3
direct
0.000 0.000 0.000
0.500 0.500 0.000
0.750 0.250 0.500
0.250 0.750 0.500
```

total moment	0.00	μB per formula unit

*x*
The following is a DFT calculation (SCAN) of a PBEsol-optimized structure of KP3.

The structure in POSCAR format:
```
KP3
1.0
-0.106 -2.834 -3.019
2.592 -2.400 2.162
-3.229 -1.834 1.835
P K
3 1
direct
0.500 0.500 0.000
0.500 0.000 0.500
0.000 0.500 0.500
0.000 0.000 0.000
```

total moment	0.00	μB per formula unit

Pick *x*: it beats the second-best structure by 76 meV/atom.

*w*
The following is a DFT calculation (SCAN) of a PBEsol-optimized structure of TaTc2Mo.

The structure in POSCAR format:
```
TaTc2Mo
1.0
-1.992 -0.417 1.811
1.696 -2.132 -0.036
4.852 3.754 6.202
Tc Mo Ta
2 1 1
direct
0.500 0.500 0.751
0.000 0.000 0.994
0.000 0.000 0.508
0.500 0.500 0.246
```

total moment	0.00	μB per formula unit

*x*
The following is a DFT calculation (SCAN) of a PBEsol-optimized structure of TaTc2Mo.

The structure in POSCAR format:
```
TaTc2Mo
1.0
-0.555 0.188 -3.058
2.973 -0.719 -0.584
-1.489 -6.075 -0.103
Ta Tc Mo
1 2 1
direct
0.500 0.500 0.500
0.000 0.000 0.751
0.000 0.000 0.249
0.500 0.500 0.000
```

total moment	0.00	μB per formula unit

Pick *x*: it beats the second-best structure by 252 meV/atom.

*w*
The following is a DFT calculation (SCAN) of a PBEsol-optimized structure of AlZnCl2.

The structure in POSCAR format:
```
AlZnCl2
1.0
4.816 0.000 0.000
2.408 4.170 0.000
2.408 1.390 3.932
Cl Zn Al
2 1 1
direct
0.750 0.750 0.750
0.000 0.000 0.000
0.250 0.250 0.250
0.500 0.500 0.500
```

total moment	0.00	μB per formula unit

*x*
The following is a DFT calculation (SCAN) of a PBEsol-optimized structure of AlZnCl2.

The structure in POSCAR format:
```
AlZnCl2
1.0
-1.529 1.575 4.495
-6.779 -2.142 1.229
1.548 -4.929 5.037
Cl Zn Al
4 2 2
direct
0.375 0.250 0.750
0.375 0.750 0.250
0.375 0.250 0.250
0.875 0.750 0.750
0.000 0.000 0.000
0.750 0.500 0.500
0.250 0.500 0.500
0.500 0.000 0.000
```

total moment	0.00	μB per formula unit

Pick *x*: it beats the second-best structure by 574 meV/atom.